10
Lattice="2.8799 0.0000 0.0000 -1.4399 2.4941 0.0000 0.0000 0.0000 15.9939" Properties=species:S:1:pos:R:3 comment="ScNi3H (PBE, optimized geometry)" space_group="No. 194" energy_ry_per_atom=-0.3937 magmom_total_mub_per_atom=0.00 dos_ef_per_ev_atom=0.835 pbc="T T T"
Sc 0.0000 0.0000 0.0000
Sc 0.0000 0.0000 7.9970
Ni 0.0000 0.0000 3.9985
Ni 0.0000 0.0000 11.9954
Ni 0.0000 1.6627 2.0222
Ni 0.0000 1.6627 5.9748
Ni 1.4399 0.8314 10.0192
Ni 1.4399 0.8314 13.9717
H 0.0000 1.6627 3.9985
H 1.4399 0.8314 11.9954